A plane-wave DFT calculation with GGA-PBE was carried out for an optimized crystal structure of Cs3TbPm2Se6.

Output
The calculation puts the total energy at -4.864 eV/atom.

CIF file:
```
data_Cs3TbPm2Se6
_chemical_formula_sum 'Cs3 Tb1 Pm2 Se6'
_cell_length_a 7.524
_cell_length_b 7.524
_cell_length_c 8.762
_cell_angle_alpha 98.23
_cell_angle_beta 98.23
_cell_angle_gamma 120.00
_symmetry_space_group_name_H-M 'P 1'
_symmetry_Int_Tables_number 1
_symmetry_space_group_name_Hall 'P 1'
loop_
_atom_site_label
_atom_site_fract_x
_atom_site_fract_y
_atom_site_fract_z
_atom_site_occupancy
Cs1 0.000 0.000 0.000 1
Cs2 0.332 0.668 0.000 1
Cs3 0.668 0.332 0.000 1
Tb1 0.500 0.500 0.500 1
Pm1 0.167 0.833 0.500 1
Pm2 0.833 0.167 0.500 1
Se1 0.109 0.437 0.312 1
Se2 0.235 0.235 0.689 1
Se3 0.437 0.109 0.312 1
Se4 0.563 0.891 0.688 1
Se5 0.765 0.765 0.311 1
Se6 0.891 0.563 0.688 1
```


A plane-wave DFT calculation with GGA-PBE was carried out for an optimized crystal structure of CsPmTeSe.

Output
The calculation puts the total energy at -4.600 eV/atom.

CIF file:
```
data_CsPmTeSe
_chemical_formula_sum 'Cs3 Pm3 Te3 Se3'
_cell_length_a 4.483
_cell_length_b 4.483
_cell_length_c 26.432
_cell_angle_alpha 90.00
_cell_angle_beta 90.00
_cell_angle_gamma 120.00
_symmetry_space_group_name_H-M 'P 1'
_symmetry_Int_Tables_number 1
_symmetry_space_group_name_Hall 'P 1'
loop_
_atom_site_label
_atom_site_fract_x
_atom_site_fract_y
_atom_site_fract_z
_atom_site_occupancy
Cs1 0.000 0.000 0.000 1
Cs2 0.333 0.667 0.667 1
Cs3 0.667 0.333 0.333 1
Pm1 0.000 0.000 0.839 1
Pm2 0.333 0.667 0.506 1
Pm3 0.667 0.333 0.173 1
Te1 0.000 0.000 0.436 1
Te2 0.333 0.667 0.103 1
Te3 0.667 0.333 0.770 1
Se1 0.000 0.000 0.230 1
Se2 0.333 0.667 0.897 1
Se3 0.667 0.333 0.563 1
```


A plane-wave DFT calculation with GGA-PBE was carried out for an optimized crystal structure of Cs3Pm2ThSe6.

Output
The calculation puts the total energy at -5.035 eV/atom.

CIF file:
```
data_Cs3Pm2ThSe6
_chemical_formula_sum 'Cs3 Pm2 Th1 Se6'
_cell_length_a 7.532
_cell_length_b 7.532
_cell_length_c 8.803
_cell_angle_alpha 98.20
_cell_angle_beta 98.20
_cell_angle_gamma 119.99
_symmetry_space_group_name_H-M 'P 1'
_symmetry_Int_Tables_number 1
_symmetry_space_group_name_Hall 'P 1'
loop_
_atom_site_label
_atom_site_fract_x
_atom_site_fract_y
_atom_site_fract_z
_atom_site_occupancy
Cs1 0.000 0.000 0.000 1
Cs2 0.332 0.668 0.000 1
Cs3 0.668 0.332 0.000 1
Pm1 0.167 0.833 0.500 1
Pm2 0.833 0.167 0.500 1
Th1 0.500 0.500 0.500 1
Se1 0.107 0.436 0.309 1
Se2 0.235 0.235 0.692 1
Se3 0.436 0.107 0.309 1
Se4 0.564 0.893 0.691 1
Se5 0.765 0.765 0.308 1
Se6 0.893 0.564 0.691 1
```


A plane-wave DFT calculation with GGA-PBE was carried out for an optimized crystal structure of Cs2PmThSe4.

Output
The calculation puts the total energy at -5.106 eV/atom.

CIF file:
```
data_Cs2PmThSe4
_chemical_formula_sum 'Cs2 Pm1 Th1 Se4'
_cell_length_a 7.504
_cell_length_b 4.344
_cell_length_c 8.816
_cell_angle_alpha 90.00
_cell_angle_beta 106.48
_cell_angle_gamma 90.00
_symmetry_space_group_name_H-M 'P 1'
_symmetry_Int_Tables_number 1
_symmetry_space_group_name_Hall 'P 1'
loop_
_atom_site_label
_atom_site_fract_x
_atom_site_fract_y
_atom_site_fract_z
_atom_site_occupancy
Cs1 0.000 0.000 0.000 1
Cs2 0.500 0.500 0.000 1
Pm1 0.000 0.500 0.500 1
Th1 0.500 0.000 0.500 1
Se1 0.235 0.000 0.692 1
Se2 0.272 0.500 0.307 1
Se3 0.728 0.500 0.693 1
Se4 0.765 0.000 0.308 1
```


A plane-wave DFT calculation with GGA-PBE was carried out for an optimized crystal structure of Cs2Pm2TiSe6.

Output
The calculation puts the total energy at -5.162 eV/atom.

CIF file:
```
data_Cs2Pm2TiSe6
_chemical_formula_sum 'Cs2 Pm2 Ti1 Se6'
_cell_length_a 7.129
_cell_length_b 7.129
_cell_length_c 8.911
_cell_angle_alpha 98.28
_cell_angle_beta 98.28
_cell_angle_gamma 119.39
_symmetry_space_group_name_H-M 'P 1'
_symmetry_Int_Tables_number 1
_symmetry_space_group_name_Hall 'P 1'
loop_
_atom_site_label
_atom_site_fract_x
_atom_site_fract_y
_atom_site_fract_z
_atom_site_occupancy
Cs1 0.173 0.827 0.000 1
Cs2 0.827 0.173 0.000 1
Pm1 0.333 0.667 0.500 1
Pm2 0.667 0.333 0.500 1
Ti1 0.000 0.000 0.500 1
Se1 0.066 0.366 0.681 1
Se2 0.235 0.235 0.322 1
Se3 0.366 0.066 0.681 1
Se4 0.634 0.934 0.319 1
Se5 0.765 0.765 0.678 1
Se6 0.934 0.634 0.319 1
```


A plane-wave DFT calculation with GGA-PBE was carried out for an optimized crystal structure of Cs4Pm3TiSe8.

Output
The calculation puts the total energy at -4.880 eV/atom.

CIF file:
```
data_Cs4Pm3TiSe8
_chemical_formula_sum 'Cs4 Pm3 Ti1 Se8'
_cell_length_a 9.712
_cell_length_b 9.712
_cell_length_c 9.712
_cell_angle_alpha 52.18
_cell_angle_beta 52.18
_cell_angle_gamma 52.18
_symmetry_space_group_name_H-M 'P 1'
_symmetry_Int_Tables_number 1
_symmetry_space_group_name_Hall 'P 1'
loop_
_atom_site_label
_atom_site_fract_x
_atom_site_fract_y
_atom_site_fract_z
_atom_site_occupancy
Cs1 0.000 0.000 0.000 1
Cs2 0.000 0.500 0.500 1
Cs3 0.500 0.000 0.500 1
Cs4 0.500 0.500 0.000 1
Pm1 0.000 0.000 0.500 1
Pm2 0.000 0.500 0.000 1
Pm3 0.500 0.000 0.000 1
Ti1 0.500 0.500 0.500 1
Se1 0.231 0.231 0.231 1
Se2 0.251 0.716 0.716 1
Se3 0.284 0.284 0.749 1
Se4 0.284 0.749 0.284 1
Se5 0.716 0.251 0.716 1
Se6 0.716 0.716 0.251 1
Se7 0.749 0.284 0.284 1
Se8 0.769 0.769 0.769 1
```


A plane-wave DFT calculation with GGA-PBE was carried out for an optimized crystal structure of Cs3Pm2TlSe6.

Output
The calculation puts the total energy at -4.253 eV/atom.

CIF file:
```
data_Cs3Pm2TlSe6
_chemical_formula_sum 'Cs3 Pm2 Tl1 Se6'
_cell_length_a 7.551
_cell_length_b 7.551
_cell_length_c 8.788
_cell_angle_alpha 98.27
_cell_angle_beta 98.27
_cell_angle_gamma 119.94
_symmetry_space_group_name_H-M 'P 1'
_symmetry_Int_Tables_number 1
_symmetry_space_group_name_Hall 'P 1'
loop_
_atom_site_label
_atom_site_fract_x
_atom_site_fract_y
_atom_site_fract_z
_atom_site_occupancy
Cs1 0.000 0.000 0.000 1
Cs2 0.333 0.667 0.000 1
Cs3 0.667 0.333 0.000 1
Pm1 0.166 0.834 0.500 1
Pm2 0.834 0.166 0.500 1
Tl1 0.500 0.500 0.500 1
Se1 0.105 0.437 0.311 1
Se2 0.230 0.230 0.691 1
Se3 0.437 0.105 0.311 1
Se4 0.563 0.895 0.689 1
Se5 0.770 0.770 0.309 1
Se6 0.895 0.563 0.689 1
```


A plane-wave DFT calculation with GGA-PBE was carried out for an optimized crystal structure of CsPmTlSe3.

Output
The calculation puts the total energy at -4.256 eV/atom.

CIF file:
```
data_CsPmTlSe3
_chemical_formula_sum 'Cs2 Pm2 Tl2 Se6'
_cell_length_a 9.368
_cell_length_b 4.292
_cell_length_c 11.689
_cell_angle_alpha 90.00
_cell_angle_beta 108.94
_cell_angle_gamma 90.00
_symmetry_space_group_name_H-M 'P 1'
_symmetry_Int_Tables_number 1
_symmetry_space_group_name_Hall 'P 1'
loop_
_atom_site_label
_atom_site_fract_x
_atom_site_fract_y
_atom_site_fract_z
_atom_site_occupancy
Cs1 0.236 0.250 0.271 1
Cs2 0.764 0.750 0.729 1
Pm1 0.348 0.750 0.858 1
Pm2 0.652 0.250 0.142 1
Tl1 0.130 0.250 0.580 1
Tl2 0.870 0.750 0.420 1
Se1 0.114 0.250 0.811 1
Se2 0.331 0.750 0.592 1
Se3 0.429 0.750 0.119 1
Se4 0.571 0.250 0.881 1
Se5 0.669 0.250 0.408 1
Se6 0.886 0.750 0.189 1
```


Question: Which of these has the highest total energy?
Answer: Cs3Pm2TlSe6


Please write out number 7 again, unchanged.
A plane-wave DFT calculation with GGA-PBE was carried out for an optimized crystal structure of Cs3Pm2TlSe6.

Output
The calculation puts the total energy at -4.253 eV/atom.

CIF file:
```
data_Cs3Pm2TlSe6
_chemical_formula_sum 'Cs3 Pm2 Tl1 Se6'
_cell_length_a 7.551
_cell_length_b 7.551
_cell_length_c 8.788
_cell_angle_alpha 98.27
_cell_angle_beta 98.27
_cell_angle_gamma 119.94
_symmetry_space_group_name_H-M 'P 1'
_symmetry_Int_Tables_number 1
_symmetry_space_group_name_Hall 'P 1'
loop_
_atom_site_label
_atom_site_fract_x
_atom_site_fract_y
_atom_site_fract_z
_atom_site_occupancy
Cs1 0.000 0.000 0.000 1
Cs2 0.333 0.667 0.000 1
Cs3 0.667 0.333 0.000 1
Pm1 0.166 0.834 0.500 1
Pm2 0.834 0.166 0.500 1
Tl1 0.500 0.500 0.500 1
Se1 0.105 0.437 0.311 1
Se2 0.230 0.230 0.691 1
Se3 0.437 0.105 0.311 1
Se4 0.563 0.895 0.689 1
Se5 0.770 0.770 0.309 1
Se6 0.895 0.563 0.689 1
```